(1)
# Ga2SnPb2

An optimized crystal structure of Ga2SnPb2 (PBE, Alexandria).

Its total energy is -3.367 eV per atom. The value obtained for the formation energy is 127.6 meV per atom. The spin magnetization comes out at 0.0 μB/cell. As for the distance to the lowest polymorph of the same formula: 0.36 eV per formula unit. The calculation puts the calculated volume at 270.43 Å³/cell.

It has space group P4/mbm (No. 127), with a = 8.914 Å, b = 8.914 Å, c = 3.403 Å, α = 90.00°, β = 90.00° and γ = 90.00°. Symmetry generates all atoms from Ga at (0.113, 0.387, 0.000), Sn at (0.000, 0.000, 0.500) and Pb at (0.182, 0.682, 0.500).


(2)
# Ga2SnPb2

An optimized crystal structure of Ga2SnPb2 (PBE, Alexandria).

Its total energy is -3.431 eV per atom. The value obtained for the formation energy is 63.3 meV per atom. The spin magnetization comes out at 0.0 μB/cell. As for the distance to the lowest polymorph of the same formula: 0.04 eV per formula unit. The calculation puts the calculated volume at 265.83 Å³/cell.

It has space group C2/m (No. 12), with a = 10.293 Å, b = 6.436 Å, c = 4.421 Å, α = 90.00°, β = 114.81° and γ = 90.00°. Symmetry generates all atoms from Ga at (0.000, 0.205, 0.000), Sn at (0.000, 0.500, 0.500) and Pb at (0.218, 0.000, 0.718).